1.
{"formula": "La8PdRu3I4", "functional": "PBE-GGA", "state": "relaxed", "dos_at_fermi_per_ev_fu": 9.02, "e_form_raw_ev_per_atom": -0.86, "cell": [[7.344, -4.236, 0.000], [7.344, 4.236, 0.000], [-4.900, 0.000, 8.276]], "species": ["La", "La", "La", "La", "La", "La", "La", "La", "Pd", "Ru", "Ru", "Ru", "I", "I", "I", "I"], "fractional_positions": [[0.215, 0.735, 0.685], [0.229, 0.229, 0.688], [0.265, 0.265, 0.315], [0.265, 0.785, 0.315], [0.735, 0.215, 0.685], [0.735, 0.735, 0.685], [0.771, 0.771, 0.312], [0.785, 0.265, 0.315], [0.500, 0.500, 0.500], [0.000, 0.000, 0.500], [0.000, 0.500, 0.500], [0.500, 0.000, 0.500], [0.000, 0.000, 0.000], [0.000, 0.500, 0.000], [0.500, 0.000, 0.000], [0.500, 0.500, 0.000]]}

2.
{"formula": "Tb2YPb", "functional": "PBE-GGA", "state": "relaxed", "e_above_lowest_polymorph_mev_per_atom": 0, "dos_at_fermi_per_ev_fu": 5.04, "formation_enthalpy_0k_mev_per_atom": -290, "cell": [[4.846, 0.000, 0.000], [0.000, 4.846, 0.000], [0.000, 0.000, 4.922]], "species": ["Tb", "Tb", "Y", "Pb"], "fractional_positions": [[0.000, 0.500, 0.000], [0.500, 0.000, 0.000], [0.000, 0.000, 0.500], [0.500, 0.500, 0.500]]}

3.
{"formula": "Cs2PI6Br", "functional": "PBE-GGA", "state": "relaxed", "dos_at_fermi_per_ev_fu": 2.67, "e_form_raw_ev_per_atom": -0.60, "cell": [[-4.113, 4.113, 6.481], [4.113, -4.113, 6.481], [4.113, 4.113, -6.481]], "species": ["Cs", "Cs", "P", "I", "I", "I", "I", "I", "I", "Br"], "fractional_positions": [[0.250, 0.750, 0.500], [0.750, 0.250, 0.500], [0.000, 0.000, 0.000], [0.214, 0.214, 0.000], [0.235, 0.235, 0.469], [0.235, 0.765, 0.000], [0.765, 0.235, 0.000], [0.765, 0.765, 0.531], [0.786, 0.786, 0.000], [0.500, 0.500, 0.000]]}

4.
{"formula": "NpU2Tc", "functional": "PBE-GGA", "state": "relaxed", "e_above_lowest_polymorph_mev_per_atom": 169, "dos_at_fermi_per_ev_fu": 9.41, "formation_enthalpy_0k_mev_per_atom": 150, "cell": [[6.374, 0.000, 0.000], [0.000, 9.038, 0.000], [0.000, 0.000, 5.383]], "species": ["Np", "Np", "Np", "Np", "U", "U", "U", "U", "U", "U", "U", "U", "Tc", "Tc", "Tc", "Tc"], "fractional_positions": [[0.076, 0.250, 0.104], [0.424, 0.750, 0.604], [0.576, 0.250, 0.396], [0.924, 0.750, 0.896], [0.231, 0.560, 0.863], [0.231, 0.940, 0.863], [0.269, 0.060, 0.363], [0.269, 0.440, 0.363], [0.731, 0.560, 0.637], [0.731, 0.940, 0.637], [0.769, 0.060, 0.137], [0.769, 0.440, 0.137], [0.092, 0.750, 0.348], [0.408, 0.250, 0.848], [0.592, 0.750, 0.152], [0.908, 0.250, 0.652]]}

5.
{"formula": "Zn2SiNi", "functional": "PBE-GGA", "state": "relaxed", "dos_at_fermi_per_ev_fu": 2.35, "e_form_raw_ev_per_atom": -0.04, "cell": [[-1.864, 1.864, 3.766], [1.864, -1.864, 3.766], [1.864, 1.864, -3.766]], "species": ["Zn", "Zn", "Si", "Ni"], "fractional_positions": [[0.000, 0.000, 0.000], [0.750, 0.250, 0.500], [0.500, 0.500, 0.000], [0.250, 0.750, 0.500]]}

6.
{"formula": "Na2Tl2Bi2Pb", "functional": "PBE-GGA", "state": "relaxed", "dos_at_fermi_per_ev_fu": 4.42, "formation_enthalpy_0k_mev_per_atom": -97, "cell": [[2.795, 1.614, 7.959], [-2.795, 1.614, 7.959], [0.000, -3.228, 7.959]], "species": ["Na", "Na", "Tl", "Tl", "Bi", "Bi", "Pb"], "fractional_positions": [[0.137, 0.137, 0.137], [0.863, 0.863, 0.863], [0.427, 0.427, 0.427], [0.573, 0.573, 0.573], [0.274, 0.274, 0.274], [0.726, 0.726, 0.726], [0.000, 0.000, 0.000]]}

7.
{"formula": "ZnPdI3", "functional": "PBE-GGA", "state": "relaxed", "e_above_lowest_polymorph_mev_per_atom": 233, "dos_at_fermi_per_ev_fu": 11.17, "e_form_raw_ev_per_atom": 0.38, "cell": [[5.567, 0.000, 0.000], [0.000, 5.567, 0.000], [0.000, 0.000, 5.567]], "species": ["Zn", "Pd", "I", "I", "I"], "fractional_positions": [[0.000, 0.000, 0.000], [0.500, 0.500, 0.500], [0.000, 0.000, 0.500], [0.000, 0.500, 0.000], [0.500, 0.000, 0.000]]}

8.
{"formula": "Be2MoSe", "functional": "PBE-GGA", "state": "relaxed", "dos_at_fermi_per_ev_fu": 2.10, "e_form_raw_ev_per_atom": 0.38, "cell": [[-1.780, 1.780, 4.037], [1.780, -1.780, 4.037], [1.780, 1.780, -4.037]], "species": ["Be", "Be", "Mo", "Se"], "fractional_positions": [[0.250, 0.750, 0.500], [0.750, 0.250, 0.500], [0.000, 0.000, 0.000], [0.500, 0.500, 0.000]]}

9.
{"formula": "LiPm2F7", "functional": "PBE-GGA", "state": "relaxed", "dos_at_fermi_per_ev_fu": 0.00, "e_form_raw_ev_per_atom": -3.78, "cell": [[2.037, 1.176, 10.387], [-2.037, 1.176, 10.387], [0.000, -2.353, 10.387]], "species": ["Li", "Pm", "Pm", "F", "F", "F", "F", "F", "F", "F"], "fractional_positions": [[0.000, 0.000, 0.000], [0.426, 0.426, 0.426], [0.574, 0.574, 0.574], [0.073, 0.073, 0.073], [0.225, 0.225, 0.225], [0.356, 0.356, 0.356], [0.500, 0.500, 0.500], [0.644, 0.644, 0.644], [0.775, 0.775, 0.775], [0.927, 0.927, 0.927]]}

10.
{"formula": "BaBSb2Au", "functional": "PBE-GGA", "state": "relaxed", "dos_at_fermi_per_ev_fu": 7.18, "e_form_raw_ev_per_atom": 1.79, "cell": [[6.255, 0.000, 0.000], [0.000, 6.255, 0.000], [0.000, 0.000, 4.945]], "species": ["Ba", "B", "Sb", "Sb", "Au"], "fractional_positions": [[0.000, 0.000, 0.000], [0.000, 0.000, 0.500], [0.000, 0.500, 0.000], [0.500, 0.000, 0.000], [0.500, 0.500, 0.500]]}

11.
{"formula": "HoMgSn2", "functional": "PBE-GGA", "state": "relaxed", "dos_at_fermi_per_ev_fu": 1.33, "formation_enthalpy_0k_mev_per_atom": -473, "cell": [[4.729, 0.000, 0.000], [0.000, 4.729, 0.000], [0.000, 0.000, 4.383]], "species": ["Ho", "Mg", "Sn", "Sn"], "fractional_positions": [[0.000, 0.000, 0.000], [0.500, 0.500, 0.000], [0.000, 0.500, 0.500], [0.500, 0.000, 0.500]]}

12.
{"formula": "Tb3SmZn", "functional": "PBE-GGA", "state": "relaxed", "e_above_lowest_polymorph_mev_per_atom": 166, "dos_at_fermi_per_ev_fu": 7.40, "formation_enthalpy_0k_mev_per_atom": 60, "cell": [[5.792, -4.213, 0.000], [5.792, 4.213, 0.000], [-4.401, 0.000, 6.422]], "species": ["Tb", "Tb", "Tb", "Tb", "Tb", "Tb", "Sm", "Sm", "Zn", "Zn"], "fractional_positions": [[0.047, 0.047, 0.307], [0.111, 0.516, 0.288], [0.484, 0.889, 0.712], [0.516, 0.111, 0.288], [0.889, 0.484, 0.712], [0.953, 0.953, 0.693], [0.418, 0.418, 0.730], [0.582, 0.582, 0.270], [0.266, 0.266, 0.938], [0.734, 0.734, 0.062]]}